No. 1
Compound: BeCdAu
Source: Alexandria via LeMat-Bulk
Functional: PBE
Structure: relaxed

energy above the lowest structure with this stoichiometry = 0.000 eV per atom
density = 10.4 g cm⁻³
energy of formation = -0.07 eV/atom
calculated total energy = -2.71 eV per atom

a = 3.778 Å, b = 3.778 Å, c = 7.102 Å
α = 90.00°, β = 90.00°, γ = 90.00°
Space group P4/nmm (No. 129, origin choice 2)
Asymmetric unit:
Be: 0.250 0.750 0.000
Cd: 0.250 0.250 0.369
Au: 0.250 0.250 0.798

No. 2
Compound: BeCdAu
Source: Alexandria via LeMat-Bulk
Functional: PBE
Structure: relaxed

energy above the lowest structure with this stoichiometry = 0.123 eV per atom
density = 10.4 g cm⁻³
energy of formation = 0.05 eV/atom
calculated total energy = -2.59 eV per atom

a = 4.0848 Å, b = 4.0848 Å, c = 3.5306 Å
α = 90.00°, β = 90.00°, γ = 120.00°
Space group P-6m2 (No. 187)
Asymmetric unit:
Be: 0.0000 0.0000 0.0000
Cd: 0.3333 0.6667 0.5000
Au: 0.6667 0.3333 0.0000

No. 3
Compound: BeCd2Au
Source: Alexandria via LeMat-Bulk
Functional: PBE
Structure: relaxed

density = 9.8 g cm⁻³
energy of formation = 0.08 eV/atom
calculated total energy = -2.13 eV per atom

a = 3.390 Å, b = 4.168 Å, c = 5.393 Å
α = 90.00°, β = 107.36°, γ = 90.00°
Space group Pm (No. 6)
Asymmetric unit:
Be: 0.000 0.000 0.000
Cd: 0.269 0.000 0.539
Cd: 0.598 0.500 0.221
Au: 0.885 0.500 0.780